DFT (PBE-GGA) results for Ca4Tl5Ge2 after structural relaxation.

Values from the calculation:
Electronic total energy, eV/atom: -2.9964
Magnetization, μB per cell: 0.000
D(E_F), states/eV/atom: 0.484
Space group: P2/m (10)

a b c (Å): 4.1408 8.1990 9.3287
angles (deg): 93.41 90.00 90.00
Element x y z (fractional)
Tl 0.0000 0.4549 0.6639
Ge 0.0000 0.0743 0.6248
Ca 0.5000 0.2152 0.4171
Tl 0.0000 0.1407 0.1312
Tl 0.0000 0.5000 0.0000
Ca 0.5000 0.7848 0.5829
Ge 0.0000 0.9257 0.3752
Tl 0.0000 0.8593 0.8688
Ca 0.5000 0.8082 0.1522
Tl 0.0000 0.5451 0.3361
Ca 0.5000 0.1918 0.8478